Density functional theory data (SCAN) for YSbW2 at its PBEsol-relaxed geometry.

The structure belongs to space group Immm (No. 71); the cell edges are 3.5270, 4.5330 and 9.5793 Å and the angles 90.00°, 90.00° and 90.00°. The asymmetric unit holds Y at (0.0000, 0.0000, 0.0000), Sb at (0.0000, 0.0000, 0.5000) and W at (0.0000, 0.5000, 0.2522).

For the density of states at the Fermi level, the calculation gives 6.228 states/eV/cell. The value obtained for the total energy is -50.592 eV/atom.